[1]
{"formula": "BeRe", "functional": "PBE-GGA", "state": "optimized geometry", "lattice_angstrom": [[1.561, -4.379, 0.000], [1.561, 4.379, 0.000], [0.000, 0.000, 3.202]], "species": ["Be", "Be", "Re", "Re"], "frac_coords": [[0.069, 0.931, 0.750], [0.931, 0.069, 0.250], [0.351, 0.649, 0.750], [0.649, 0.351, 0.250]], "density_g_cm3": 14.8, "e_tot_ry_per_atom": -0.60765, "total_magnetization_mub_per_cell": 0.000, "space_group": "No. 63", "vol_a3_per_cell": 43.8, "n_ef_per_ev_cell": 1.36}



[2]
{"formula": "BeRe", "functional": "PBE-GGA", "state": "optimized geometry", "lattice_angstrom": [[1.991, -6.020, 0.000], [1.991, 6.020, 0.000], [0.000, 0.000, 2.948]], "species": ["Be", "Be", "Be", "Re", "Re", "Re"], "frac_coords": [[0.000, 0.000, 0.000], [0.143, 0.857, 0.500], [0.857, 0.143, 0.500], [0.315, 0.685, 0.000], [0.500, 0.500, 0.500], [0.685, 0.315, 0.000]], "density_g_cm3": 13.8, "e_tot_ry_per_atom": -0.60004, "total_magnetization_mub_per_cell": 0.000, "space_group": "No. 65", "vol_a3_per_cell": 70.7, "n_ef_per_ev_cell": 1.71}



[3]
{"formula": "Be5Re4", "functional": "PBE-GGA", "state": "optimized geometry", "lattice_angstrom": [[-3.944, 3.944, 1.622], [3.944, -3.944, 1.622], [3.944, 3.944, -1.622]], "species": ["Be", "Be", "Be", "Be", "Be", "Re", "Re", "Re", "Re"], "frac_coords": [[0.000, 0.000, 0.000], [0.318, 0.318, 0.635], [0.318, 0.682, 0.000], [0.682, 0.318, 0.000], [0.682, 0.682, 0.365], [0.000, 0.299, 0.299], [0.000, 0.701, 0.701], [0.299, 0.000, 0.299], [0.701, 0.000, 0.701]], "density_g_cm3": 13.0, "e_tot_ry_per_atom": -0.56148, "total_magnetization_mub_per_cell": 0.000, "space_group": "No. 139", "vol_a3_per_cell": 100.9, "n_ef_per_ev_cell": 4.99}



[4]
{"formula": "BeRe", "functional": "PBE-GGA", "state": "optimized geometry", "lattice_angstrom": [[2.076, 1.198, 3.731], [-2.076, 1.198, 3.731], [0.000, -2.397, 3.731]], "species": ["Be", "Be", "Re", "Re"], "frac_coords": [[0.095, 0.095, 0.095], [0.905, 0.905, 0.905], [0.306, 0.306, 0.306], [0.694, 0.694, 0.694]], "density_g_cm3": 11.6, "e_tot_ry_per_atom": -0.55829, "total_magnetization_mub_per_cell": 0.000, "space_group": "No. 166", "vol_a3_per_cell": 55.7, "n_ef_per_ev_cell": 2.32}



Copy entry 3 word for word.
{"formula": "Be5Re4", "functional": "PBE-GGA", "state": "optimized geometry", "lattice_angstrom": [[-3.944, 3.944, 1.622], [3.944, -3.944, 1.622], [3.944, 3.944, -1.622]], "species": ["Be", "Be", "Be", "Be", "Be", "Re", "Re", "Re", "Re"], "frac_coords": [[0.000, 0.000, 0.000], [0.318, 0.318, 0.635], [0.318, 0.682, 0.000], [0.682, 0.318, 0.000], [0.682, 0.682, 0.365], [0.000, 0.299, 0.299], [0.000, 0.701, 0.701], [0.299, 0.000, 0.299], [0.701, 0.000, 0.701]], "density_g_cm3": 13.0, "e_tot_ry_per_atom": -0.56148, "total_magnetization_mub_per_cell": 0.000, "space_group": "No. 139", "vol_a3_per_cell": 100.9, "n_ef_per_ev_cell": 4.99}